(1)
{"formula": "Rb6TlAu3", "functional": "GGA-PBE", "state": "relaxed", "total_energy_ev_per_cell": -39.003, "space_group": "P2_1/c (14)", "formation_energy_mev_per_atom": -150, "cell": [[8.611, 0.000, 0.000], [0.000, 9.251, -0.516], [0.000, -0.387, 12.708]], "species": ["Rb", "Rb", "Rb", "Rb", "Rb", "Rb", "Rb", "Rb", "Rb", "Rb", "Rb", "Rb", "Tl", "Tl", "Au", "Au", "Au", "Au", "Au", "Au"], "frac_coords": [[0.845, 0.362, 0.088], [0.867, 0.307, 0.405], [0.009, 0.205, 0.735], [0.991, 0.795, 0.265], [0.133, 0.693, 0.595], [0.155, 0.638, 0.912], [0.655, 0.862, 0.588], [0.633, 0.807, 0.905], [0.491, 0.705, 0.235], [0.509, 0.295, 0.765], [0.367, 0.193, 0.095], [0.345, 0.138, 0.412], [0.500, 0.500, 0.500], [0.000, 0.000, 0.000], [0.230, 0.482, 0.352], [0.500, 0.500, 0.000], [0.770, 0.518, 0.648], [0.270, 0.982, 0.852], [0.000, 0.000, 0.500], [0.730, 0.018, 0.148]]}



(2)
{"formula": "Pm2Sm2Ho4Th", "functional": "GGA-PBE", "state": "relaxed", "total_energy_ev_per_cell": -44.655, "space_group": "C2/m (12)", "formation_energy_mev_per_atom": 2, "cell": [[3.616, 0.000, 0.000], [-1.808, 9.376, -0.490], [0.000, -3.739, 8.833]], "species": ["Pm", "Pm", "Sm", "Sm", "Ho", "Ho", "Ho", "Ho", "Th"], "frac_coords": [[0.336, 0.673, 0.995], [0.664, 0.327, 0.005], [0.853, 0.706, 0.336], [0.147, 0.294, 0.664], [0.816, 0.633, 0.665], [0.184, 0.367, 0.335], [0.519, 0.037, 0.327], [0.481, 0.963, 0.673], [0.000, 0.000, 0.000]]}



(3)
{"formula": "Li2TaIr", "functional": "GGA-PBE", "state": "relaxed", "total_energy_ev_per_cell": -23.927, "polymorph_energy_mev_per_atom": 314, "space_group": "Cmmm (65)", "formation_energy_mev_per_atom": 153, "cell": [[5.220, 0.001, 0.000], [-2.777, 4.420, 0.000], [0.000, 0.000, 2.695]], "species": ["Ir", "Li", "Li", "Ta"], "frac_coords": [[0.000, 0.500, 0.500], [0.000, 0.000, 0.000], [0.500, 0.500, 0.000], [0.500, 0.000, 0.500]]}



(4)
{"formula": "Hf2PaTe", "functional": "GGA-PBE", "state": "relaxed", "total_energy_ev_per_cell": -32.862, "polymorph_energy_mev_per_atom": 0, "space_group": "R3m (160)", "cell": [[3.412, 0.000, 0.000], [1.706, 2.955, 0.000], [1.706, 0.985, 9.603]], "species": ["Hf", "Hf", "Pa", "Te"], "frac_coords": [[0.076, 0.076, 0.771], [0.257, 0.257, 0.229], [0.500, 0.500, 0.501], [0.667, 0.667, 0.999]]}



(5)
{"formula": "Rb5Sm2I12", "functional": "GGA-PBE", "state": "relaxed", "total_energy_ev_per_cell": -58.218, "space_group": "C2/m (12)", "cell": [[-4.005, 2.832, -7.432], [-4.233, -9.613, 3.953], [-5.100, 8.918, 6.147]], "species": ["Rb", "Rb", "Rb", "Rb", "Rb", "Sm", "Sm", "I", "I", "I", "I", "I", "I", "I", "I", "I", "I", "I", "I"], "frac_coords": [[0.292, 0.583, 0.643], [0.310, 0.620, 0.163], [0.000, 0.000, 0.500], [0.690, 0.380, 0.837], [0.708, 0.417, 0.357], [0.749, 0.000, 0.000], [0.251, 0.000, 0.000], [0.007, 0.015, 0.185], [0.099, 0.688, 0.927], [0.589, 0.688, 0.927], [0.130, 0.713, 0.437], [0.583, 0.713, 0.437], [0.494, 0.987, 0.811], [0.506, 0.013, 0.189], [0.870, 0.287, 0.563], [0.417, 0.287, 0.563], [0.901, 0.312, 0.073], [0.411, 0.312, 0.073], [0.993, 0.985, 0.815]]}



(6)
{"formula": "Ca2SbAs2", "functional": "GGA-PBE", "state": "relaxed", "total_energy_ev_per_cell": -19.791, "polymorph_energy_mev_per_atom": 319, "space_group": "I4/mmm (139)", "cell": [[-0.042, -5.119, 1.363], [1.547, -1.316, -4.893], [5.546, -2.878, -0.341]], "species": ["Sb", "As", "As", "Ca", "Ca"], "frac_coords": [[0.000, 0.000, 0.000], [0.380, 0.380, 0.240], [0.620, 0.620, 0.760], [0.750, 0.250, 0.500], [0.250, 0.750, 0.500]]}